{"formula": "MgTl2Sb", "functional": "meta-GGA SCAN", "state": "single point on PBEsol structure", "relative_energy_mev_per_atom": 108, "formation_energy_uncorrected_ev_per_atom": 0.067, "lattice_angstrom": [[-2.409, -2.292, 0.574], [0.790, -2.961, 1.414], [-2.212, 2.436, 10.364]], "species": ["Mg", "Sb", "Tl", "Tl"], "frac_coords": [[0.500, 0.500, 0.500], [0.000, 0.000, 0.000], [0.247, 0.247, 0.259], [0.753, 0.753, 0.741]]}